DFT (PBEsol) results for a relaxed LaScNF2 crystal.

Cell: 4.0457 4.0457 4.3257 Å, 90.00 90.00 90.00°
With the nearest neighbours (Å) after each atom.
Sites, in units of the cell vectors:
Sc 0.0000 0.0000 0.0000  4 F 2.02, 2 N 2.16
N 0.0000 0.0000 0.5000  2 Sc 2.16
F 0.0000 0.5000 0.0000  2 Sc 2.02
F 0.5000 0.0000 0.0000  2 Sc 2.02
La 0.5000 0.5000 0.5000  4 N 2.86, 8 F 2.96

offset from the most stable computed form: 0 meV/atom
formation energy without anion corrections: -1197 kJ/mol of formula units



DFT (PBEsol) results for a relaxed Ba2MgIr crystal.

Cell: 4.5831 4.5746 8.7788 Å, 105.09 90.00 120.06°
With the nearest neighbours (Å) after each atom.
Sites, in units of the cell vectors:
Mg 0.7916 0.5833 0.3752  3 Ir 2.64
Ir 0.4576 0.9153 0.3745  3 Mg 2.64
Ba 0.0428 0.0857 0.1273  3 Ir 3.35-3.36, 3 Mg 3.36
Ba 0.2079 0.4158 0.6229  3 Ir 3.36-3.37, 3 Mg 3.36

total DFT energy (no corrections): -4.07 eV/atom



DFT (PBEsol) results for a relaxed RbBeOF2 crystal.

Cell: 4.1704 4.7808 4.7808 Å, 90.00 90.00 90.00°
With the nearest neighbours (Å) after each atom.
Sites, in units of the cell vectors:
Be 0.5000 0.5000 0.5000  8 F 3.17, 4 O 3.38
O 0.5000 0.0000 0.0000  2 Rb 2.09
Rb 0.0000 0.0000 0.0000  2 O 2.09
F 0.0000 0.0000 0.5000  2 Rb 2.39
F 0.0000 0.5000 0.0000  2 Rb 2.39

formation energy without anion corrections: 72 kJ/mol of formula units